# 1
{"formula": "CsK2TlCd", "functional": "PBE", "state": "optimized geometry", "spacegroup": "P4/mmm, No. 123", "dft_energy_ev_per_atom": -1.2525, "de_polymorph_mev_per_atom": 0, "ef_ev_per_atom": 0.014, "lattice_angstrom": [[6.907, 0.000, 0.000], [0.000, 6.907, 0.000], [0.000, 0.000, 5.909]], "species": ["Cs", "K", "K", "Tl", "Cd"], "fractional_positions": [[0.000, 0.000, 0.000], [0.000, 0.500, 0.500], [0.500, 0.000, 0.500], [0.500, 0.500, 0.500], [0.500, 0.500, 0.000]]}

***

# 2
{"formula": "ScCoAs2Br", "functional": "PBE", "state": "optimized geometry", "spacegroup": "P4/mmm, No. 123", "dft_energy_ev_per_atom": -4.3690, "de_polymorph_mev_per_atom": 502, "e_form_raw_ev_per_atom": 0.51, "lattice_angstrom": [[5.158, 0.000, 0.000], [0.000, 5.158, 0.000], [0.000, 0.000, 5.169]], "species": ["Sc", "Co", "As", "As", "Br"], "fractional_positions": [[0.000, 0.000, 0.000], [0.500, 0.500, 0.500], [0.000, 0.500, 0.000], [0.500, 0.000, 0.000], [0.000, 0.000, 0.500]]}

***

# 3
{"formula": "MgCuGe2", "functional": "PBE", "state": "optimized geometry", "spacegroup": "R-3m, No. 166", "dft_energy_ev_per_atom": -3.6768, "ef_ev_per_atom": 0.055, "lattice_angstrom": [[2.000, 1.154, 5.380], [-2.000, 1.154, 5.380], [0.000, -2.309, 5.380]], "species": ["Mg", "Cu", "Ge", "Ge"], "fractional_positions": [[0.000, 0.000, 0.000], [0.500, 0.500, 0.500], [0.225, 0.225, 0.225], [0.775, 0.775, 0.775]]}

***

# 4
{"formula": "NdSm2TmTh", "functional": "PBE", "state": "optimized geometry", "spacegroup": "P2/c, No. 13", "dft_energy_ev_per_atom": -4.8980, "ef_ev_per_atom": 0.322, "lattice_angstrom": [[8.623, 0.000, 0.000], [0.000, 6.424, 0.000], [-0.854, 0.000, 6.316]], "species": ["Nd", "Nd", "Sm", "Sm", "Sm", "Sm", "Tm", "Tm", "Th", "Th"], "fractional_positions": [[0.000, 0.000, 0.000], [0.000, 0.000, 0.500], [0.315, 0.309, 0.208], [0.315, 0.691, 0.708], [0.685, 0.309, 0.292], [0.685, 0.691, 0.792], [0.500, 0.174, 0.750], [0.500, 0.826, 0.250], [0.000, 0.452, 0.750], [0.000, 0.548, 0.250]]}

***

# 5
{"formula": "SmGdCdSb", "functional": "PBE", "state": "optimized geometry", "spacegroup": "F-43m, No. 216", "dft_energy_ev_per_atom": -6.5287, "e_form_raw_ev_per_atom": -0.57, "lattice_angstrom": [[0.000, 3.803, 3.803], [3.803, 0.000, 3.803], [3.803, 3.803, 0.000]], "species": ["Sm", "Gd", "Cd", "Sb"], "fractional_positions": [[0.000, 0.000, 0.000], [0.500, 0.500, 0.500], [0.250, 0.250, 0.250], [0.750, 0.750, 0.750]]}

***

# 6
{"formula": "Pm2NdHo9", "functional": "PBE", "state": "optimized geometry", "spacegroup": "P4/mmm, No. 123", "dft_energy_ev_per_atom": -4.5001, "de_polymorph_mev_per_atom": 67, "ef_ev_per_atom": 0.122, "lattice_angstrom": [[5.890, 0.000, 0.000], [0.000, 5.890, 0.000], [0.000, 0.000, 11.074]], "species": ["Pm", "Pm", "Nd", "Ho", "Ho", "Ho", "Ho", "Ho", "Ho", "Ho", "Ho", "Ho"], "fractional_positions": [[0.000, 0.000, 0.166], [0.000, 0.000, 0.834], [0.000, 0.000, 0.500], [0.000, 0.500, 0.000], [0.000, 0.500, 0.333], [0.000, 0.500, 0.667], [0.500, 0.000, 0.000], [0.500, 0.000, 0.333], [0.500, 0.000, 0.667], [0.500, 0.500, 0.167], [0.500, 0.500, 0.500], [0.500, 0.500, 0.833]]}

***

# 7
{"formula": "RbZrZn2As", "functional": "PBE", "state": "optimized geometry", "spacegroup": "P4/mmm, No. 123", "dft_energy_ev_per_atom": -3.2948, "ef_ev_per_atom": 0.048, "lattice_angstrom": [[5.508, 0.000, 0.000], [0.000, 5.508, 0.000], [0.000, 0.000, 5.210]], "species": ["Rb", "Zr", "Zn", "Zn", "As"], "fractional_positions": [[0.000, 0.000, 0.000], [0.500, 0.500, 0.500], [0.000, 0.500, 0.500], [0.500, 0.000, 0.500], [0.500, 0.500, 0.000]]}

***

# 8
{"formula": "BeAuBr2", "functional": "PBE", "state": "optimized geometry", "spacegroup": "Pmm2, No. 25", "dft_energy_ev_per_atom": -2.7030, "de_polymorph_mev_per_atom": 158, "e_form_raw_ev_per_atom": -0.12, "lattice_angstrom": [[2.780, 0.000, 0.000], [0.000, 3.462, 0.000], [0.000, 0.000, 9.818]], "species": ["Be", "Au", "Br", "Br"], "fractional_positions": [[0.000, 0.000, 0.000], [0.500, 0.500, 0.893], [0.000, 0.000, 0.219], [0.500, 0.500, 0.595]]}

***

| no. | magnetic moment (μB per formula unit) | DOS(E_F) (states/eV per cell) |
| --- | --- | --- |
| 1 | 0.00 | 2.58 |
| 2 | 2.81 | 3.97 |
| 3 | 0.00 | 1.31 |
| 4 | 0.00 | 12.87 |
| 5 | 7.57 | 4.33 |
| 6 | 0.00 | 22.96 |
| 7 | 0.00 | 3.33 |
| 8 | 0.00 | 1.71 |